(1)
DFT (GGA-PBE) results for a relaxed structure of KCdSb2.

* energy relative to the elements, uncorrected: -9.4 kJ/mol of atoms
* E_tot: -2.662 eV per atom

a b c (Å): 4.0184 4.0184 8.1717
angles (deg): 90.00 90.00 90.00
Positions (direct):
K 0.0000 0.0000 0.0000
Cd 0.5000 0.5000 0.7153
Sb 0.0000 0.0000 0.4646
Sb 0.5000 0.5000 0.3164



(2)
DFT (GGA-PBE) results for a relaxed structure of KCd3Sb.

* energy relative to the elements, uncorrected: 14.9 kJ/mol of atoms
* E_tot: -1.438 eV per atom

a b c (Å): 5.7891 5.7891 5.7891
angles (deg): 90.00 90.00 90.00
Positions (direct):
K 0.0000 0.0000 0.0000
Cd 0.0000 0.5000 0.5000
Cd 0.5000 0.0000 0.5000
Cd 0.5000 0.5000 0.0000
Sb 0.5000 0.5000 0.5000



(3)
DFT (GGA-PBE) results for a relaxed structure of K3CdSb.

* energy relative to the elements, uncorrected: -21.1 kJ/mol of atoms
* E_tot: -1.885 eV per atom

a b c (Å): 8.7839 8.7839 8.7839
angles (deg): 102.93 111.61 114.08
Positions (direct):
K 0.1996 0.0560 0.2556
K 0.1996 0.4440 0.6436
K 0.5757 0.9246 0.1510
K 0.7736 0.4246 0.8490
K 0.8004 0.5560 0.3564
K 0.8004 0.9440 0.7444
Cd 0.2865 0.0602 0.7263
Cd 0.3339 0.5602 0.2737
Sb 0.1132 0.7821 0.8310
Sb 0.9511 0.2821 0.1690



(4)
DFT (GGA-PBE) results for a relaxed structure of KCdSb.

* energy relative to the elements, uncorrected: -39.3 kJ/mol of atoms
* E_tot: -2.452 eV per atom

a b c (Å): 4.8664 4.8664 8.3351
angles (deg): 90.00 90.00 90.00
Positions (direct):
K 0.2500 0.2500 0.1589
K 0.7500 0.7500 0.8411
Cd 0.2500 0.7500 0.5000
Cd 0.7500 0.2500 0.5000
Sb 0.2500 0.2500 0.7115
Sb 0.7500 0.7500 0.2885



(5)
DFT (GGA-PBE) results for a relaxed structure of KCdSb.

* energy relative to the elements, uncorrected: -7.4 kJ/mol of atoms
* E_tot: -2.122 eV per atom

a b c (Å): 8.1904 8.1815 3.4151
angles (deg): 78.11 77.81 24.08
Positions (direct):
K 0.0000 0.0000 0.0000
Cd 0.6749 0.6749 0.3251
Sb 0.3251 0.3251 0.6749



(6)
DFT (GGA-PBE) results for a relaxed structure of KCdSb2.

* energy relative to the elements, uncorrected: -2.3 kJ/mol of atoms
* E_tot: -2.588 eV per atom

a b c (Å): 10.4265 10.4265 10.4265
angles (deg): 20.44 20.44 20.44
Positions (direct):
K 0.0000 0.0000 0.0000
Cd 0.5000 0.5000 0.5000
Sb 0.2386 0.2386 0.2386
Sb 0.7614 0.7614 0.7614



(7)
DFT (GGA-PBE) results for a relaxed structure of KCdSb.

* energy relative to the elements, uncorrected: -14.2 kJ/mol of atoms
* E_tot: -2.192 eV per atom

a b c (Å): 6.8463 6.8463 6.8463
angles (deg): 144.17 144.17 51.58
Positions (direct):
K 0.0000 0.0000 0.0000
Cd 0.7352 0.7352 0.0000
Sb 0.2793 0.2793 0.0000



(8)
DFT (GGA-PBE) results for a relaxed structure of KCdSb2.

* energy relative to the elements, uncorrected: -9.6 kJ/mol of atoms
* E_tot: -2.663 eV per atom

a b c (Å): 3.3159 5.6200 6.3672
angles (deg): 90.00 90.00 90.00
Positions (direct):
K 0.0000 0.0000 0.0000
Cd 0.5000 0.5000 0.2599
Sb 0.5000 0.0000 0.5028
Sb 0.5000 0.5000 0.7505



(9)
DFT (GGA-PBE) results for a relaxed structure of KCdSb2.

* energy relative to the elements, uncorrected: -2.1 kJ/mol of atoms
* E_tot: -2.586 eV per atom

a b c (Å): 5.7406 5.7406 7.0396
angles (deg): 94.08 94.08 32.94
Positions (direct):
K 0.0000 0.0000 0.0000
Cd 0.7467 0.7467 0.2868
Sb 0.2533 0.2533 0.6874
Sb 0.4946 0.4946 0.5084



(10)
DFT (GGA-PBE) results for a relaxed structure of KCd2Sb2.

* energy relative to the elements, uncorrected: -18.0 kJ/mol of atoms
* E_tot: -2.421 eV per atom

a b c (Å): 6.7281 7.8024 7.8450
angles (deg): 106.28 112.80 105.16
Positions (direct):
K 0.1861 0.2907 0.4339
K 0.8139 0.7093 0.5661
Cd 0.3080 0.5732 0.0146
Cd 0.4680 0.9748 0.7367
Cd 0.5320 0.0252 0.2633
Cd 0.6920 0.4268 0.9854
Sb 0.1592 0.7404 0.3030
Sb 0.2838 0.1730 0.9823
Sb 0.7162 0.8270 0.0177
Sb 0.8408 0.2596 0.6970



(11)
DFT (GGA-PBE) results for a relaxed structure of KCdSb2.

* energy relative to the elements, uncorrected: 9.4 kJ/mol of atoms
* E_tot: -2.467 eV per atom

a b c (Å): 3.2897 3.2897 10.8219
angles (deg): 90.00 90.00 90.00
Positions (direct):
K 0.0000 0.0000 0.0000
Cd 0.5000 0.5000 0.7389
Sb 0.0000 0.0000 0.5081
Sb 0.5000 0.5000 0.2622



(12)
DFT (GGA-PBE) results for a relaxed structure of KCd2Sb2.

* energy relative to the elements, uncorrected: -10.1 kJ/mol of atoms
* E_tot: -2.339 eV per atom

a b c (Å): 8.8833 8.8833 3.6003
angles (deg): 90.00 90.00 90.00
Positions (direct):
K 0.0000 0.0000 0.0000
K 0.5000 0.5000 0.0000
Cd 0.1269 0.3731 0.0000
Cd 0.3731 0.8731 0.0000
Cd 0.6269 0.1269 0.0000
Cd 0.8731 0.6269 0.0000
Sb 0.1669 0.6669 0.5000
Sb 0.3331 0.1669 0.5000
Sb 0.6669 0.8331 0.5000
Sb 0.8331 0.3331 0.5000



(13)
DFT (GGA-PBE) results for a relaxed structure of K3Cd2Sb2.

* energy relative to the elements, uncorrected: -32.3 kJ/mol of atoms
* E_tot: -2.245 eV per atom

a b c (Å): 6.6280 10.1790 15.2482
angles (deg): 90.00 90.00 90.00
Positions (direct):
K 0.1124 0.1483 0.1117
K 0.1124 0.1483 0.3883
K 0.1124 0.3517 0.6117
K 0.1124 0.3517 0.8883
K 0.3407 0.7248 0.7500
K 0.3407 0.7752 0.2500
K 0.6593 0.2248 0.7500
K 0.6593 0.2752 0.2500
K 0.8876 0.6483 0.1117
K 0.8876 0.6483 0.3883
K 0.8876 0.8517 0.6117
K 0.8876 0.8517 0.8883
Cd 0.3753 0.0251 0.5835
Cd 0.3753 0.0251 0.9165
Cd 0.3753 0.4749 0.0835
Cd 0.3753 0.4749 0.4165
Cd 0.6247 0.5251 0.5835
Cd 0.6247 0.5251 0.9165
Cd 0.6247 0.9749 0.0835
Cd 0.6247 0.9749 0.4165
Sb 0.1753 0.0635 0.7500
Sb 0.1753 0.4365 0.2500
Sb 0.3905 0.7500 0.0000
Sb 0.3905 0.7500 0.5000
Sb 0.6095 0.2500 0.0000
Sb 0.6095 0.2500 0.5000
Sb 0.8247 0.5635 0.7500
Sb 0.8247 0.9365 0.2500



(14)
DFT (GGA-PBE) results for a relaxed structure of K5CdSb2.

* energy relative to the elements, uncorrected: -32.7 kJ/mol of atoms
* E_tot: -2.169 eV per atom

a b c (Å): 10.6116 10.6116 10.6116
angles (deg): 33.50 33.50 33.50
Positions (direct):
K 0.0000 0.0000 0.0000
K 0.1256 0.1256 0.1256
K 0.2796 0.2796 0.2796
K 0.7204 0.7204 0.7204
K 0.8744 0.8744 0.8744
Cd 0.5000 0.5000 0.5000
Sb 0.4064 0.4064 0.4064
Sb 0.5936 0.5936 0.5936



(15)
DFT (GGA-PBE) results for a relaxed structure of KCdSb2.

* energy relative to the elements, uncorrected: -12.1 kJ/mol of atoms
* E_tot: -2.690 eV per atom

a b c (Å): 3.3282 5.4140 6.8144
angles (deg): 90.00 90.00 90.00
Positions (direct):
K 0.0000 0.0000 0.0000
Cd 0.5000 0.0000 0.5000
Sb 0.5000 0.5000 0.2834
Sb 0.5000 0.5000 0.7166



(16)
DFT (GGA-PBE) results for a relaxed structure of K2Cd6Sb3.

* energy relative to the elements, uncorrected: -17.4 kJ/mol of atoms
* E_tot: -2.004 eV per atom

a b c (Å): 8.9188 8.9188 4.7488
angles (deg): 90.00 90.00 120.00
Positions (direct):
K 0.3333 0.6667 0.0000
K 0.6667 0.3333 0.0000
Cd 0.0000 0.1872 0.0000
Cd 0.0000 0.7099 0.5000
Cd 0.1872 0.0000 0.0000
Cd 0.2901 0.2901 0.5000
Cd 0.7099 0.0000 0.5000
Cd 0.8128 0.8128 0.0000
Sb 0.0000 0.3760 0.5000
Sb 0.3760 0.0000 0.5000
Sb 0.6240 0.6240 0.5000



(17)
DFT (GGA-PBE) results for a relaxed structure of K3Cd5Sb2.

* energy relative to the elements, uncorrected: -20.7 kJ/mol of atoms
* E_tot: -1.826 eV per atom

a b c (Å): 10.6487 10.6487 10.6487
angles (deg): 112.82 79.63 142.39
Positions (direct):
K 0.1418 0.7264 0.8682
K 0.2500 0.2500 0.0000
K 0.3582 0.2264 0.5846
K 0.6418 0.7736 0.4154
K 0.7500 0.7500 0.0000
K 0.8582 0.2736 0.1318
Cd 0.0193 0.2500 0.7693
Cd 0.1351 0.4071 0.5422
Cd 0.2500 0.7500 0.5000
Cd 0.3649 0.9071 0.2720
Cd 0.4807 0.2500 0.2307
Cd 0.5193 0.7500 0.7693
Cd 0.6351 0.0929 0.7280
Cd 0.7500 0.2500 0.5000
Cd 0.8649 0.5929 0.4578
Cd 0.9807 0.7500 0.2307
Sb 0.1418 0.1598 0.3015
Sb 0.3582 0.6598 0.0180
Sb 0.6418 0.3402 0.9820
Sb 0.8582 0.8402 0.6985



(18)
DFT (GGA-PBE) results for a relaxed structure of KCdSb.

* energy relative to the elements, uncorrected: -24.2 kJ/mol of atoms
* E_tot: -2.295 eV per atom

a b c (Å): 6.8179 6.8179 6.8179
angles (deg): 41.45 41.45 41.45
Positions (direct):
K 0.0000 0.0000 0.0000
Cd 0.1766 0.1766 0.1766
Sb 0.8126 0.8126 0.8126



(19)
DFT (GGA-PBE) results for a relaxed structure of K2Cd2Sb.

* energy relative to the elements, uncorrected: -17.5 kJ/mol of atoms
* E_tot: -1.811 eV per atom

a b c (Å): 7.8366 7.8366 5.6386
angles (deg): 90.00 90.00 90.00
Positions (direct):
K 0.1859 0.3141 0.0000
K 0.3141 0.8141 0.0000
K 0.6859 0.1859 0.0000
K 0.8141 0.6859 0.0000
Cd 0.1284 0.6284 0.5000
Cd 0.3716 0.1284 0.5000
Cd 0.6284 0.8716 0.5000
Cd 0.8716 0.3716 0.5000
Sb 0.0000 0.0000 0.5000
Sb 0.5000 0.5000 0.5000



(20)
DFT (GGA-PBE) results for a relaxed structure of KCdSb2.

* energy relative to the elements, uncorrected: -2.7 kJ/mol of atoms
* E_tot: -2.592 eV per atom

a b c (Å): 6.2451 6.2451 6.2451
angles (deg): 135.70 135.70 64.45
Positions (direct):
K 0.0000 0.0000 0.0000
Cd 0.5000 0.5000 0.0000
Sb 0.2500 0.7500 0.5000
Sb 0.7500 0.2500 0.5000



(21)
DFT (GGA-PBE) results for a relaxed structure of KCdSb2.

* energy relative to the elements, uncorrected: 4.1 kJ/mol of atoms
* E_tot: -2.522 eV per atom

a b c (Å): 5.5403 5.5403 5.5403
angles (deg): 60.00 60.00 60.00
Positions (direct):
K 0.0000 0.0000 0.0000
Cd 0.7500 0.7500 0.7500
Sb 0.2500 0.2500 0.2500
Sb 0.5000 0.5000 0.5000



(22)
DFT (GGA-PBE) results for a relaxed structure of KCdSb.

* energy relative to the elements, uncorrected: -6.1 kJ/mol of atoms
* E_tot: -2.109 eV per atom

a b c (Å): 6.0256 6.0256 6.0256
angles (deg): 149.07 122.35 66.87
Positions (direct):
K 0.0000 0.0000 0.0000
Cd 0.3396 0.3396 0.0000
Sb 0.6490 0.6490 0.0000



(23)
DFT (GGA-PBE) results for a relaxed structure of KCd3Sb.

* energy relative to the elements, uncorrected: 75.6 kJ/mol of atoms
* E_tot: -0.810 eV per atom

a b c (Å): 6.2879 6.2879 6.2879
angles (deg): 90.00 90.00 90.00
Positions (direct):
K 0.0000 0.0000 0.0000
Cd 0.0000 0.0000 0.5000
Cd 0.0000 0.5000 0.0000
Cd 0.5000 0.0000 0.0000
Sb 0.5000 0.5000 0.5000



(24)
DFT (GGA-PBE) results for a relaxed structure of KCdSb2.

* energy relative to the elements, uncorrected: -3.3 kJ/mol of atoms
* E_tot: -2.598 eV per atom

a b c (Å): 4.8385 4.8526 4.9159
angles (deg): 90.00 90.00 90.00
Positions (direct):
K 0.0000 0.0000 0.0000
Cd 0.5000 0.5000 0.0000
Sb 0.0000 0.5000 0.5000
Sb 0.5000 0.0000 0.5000



(25)
DFT (GGA-PBE) results for a relaxed structure of KCdSb2.

* energy relative to the elements, uncorrected: -3.1 kJ/mol of atoms
* E_tot: -2.597 eV per atom

a b c (Å): 3.4910 3.4910 9.9014
angles (deg): 90.00 90.00 101.93
Positions (direct):
K 0.0000 0.0000 0.0000
Cd 0.0000 0.0000 0.5000
Sb 0.5000 0.5000 0.2816
Sb 0.5000 0.5000 0.7184



(26)
DFT (GGA-PBE) results for a relaxed structure of KCdSb.

* energy relative to the elements, uncorrected: -6.4 kJ/mol of atoms
* E_tot: -2.112 eV per atom

a b c (Å): 3.4719 5.4488 10.7681
angles (deg): 88.42 90.00 89.99
Positions (direct):
K 0.0030 0.4883 0.1976
K 0.9970 0.5117 0.8024
Cd 0.5000 0.0000 0.0000
Cd 0.5000 0.5000 0.5000
Sb 0.4964 0.0186 0.6345
Sb 0.5036 0.9814 0.3655